Compound: BaRe2H
Source: Alexandria via LeMat-Bulk
Functional: GGA-PBE
Structure: optimized geometry

Geometry as POSCAR:
```
BaRe2H
1.0
5.839 0.000 0.000
0.000 5.839 0.000
2.919 2.919 4.167
Ba H Re
2 2 4
direct
0.000 0.000 0.000
0.750 0.250 0.500
0.250 0.750 0.500
0.500 0.500 0.000
0.375 0.625 0.750
0.875 0.625 0.750
0.375 0.125 0.250
0.375 0.625 0.250
```

Computed properties:
calculated volume = 17.8 A^3/atom
E above lowest polymorph = 0 meV/atom
D(E_F) = 10.09 states/eV per cell

Compound: BaReH2
Source: Alexandria via LeMat-Bulk
Functional: GGA-PBE
Structure: optimized geometry

Geometry as POSCAR:
```
BaReH2
1.0
5.539 0.000 0.000
0.000 5.539 0.000
2.770 2.770 3.818
Re H Ba
2 4 2
direct
0.000 0.000 0.000
0.750 0.250 0.500
0.005 0.625 0.250
0.375 0.255 0.750
0.875 0.995 0.750
0.745 0.125 0.250
0.500 0.500 0.000
0.250 0.750 0.500
```

Computed properties:
calculated volume = 14.6 A^3/atom
E above lowest polymorph = 0 meV/atom
D(E_F) = 8.71 states/eV per cell

Compound: Ba2Re2H
Source: Alexandria via LeMat-Bulk
Functional: GGA-PBE
Structure: optimized geometry

Geometry as POSCAR:
```
Ba2Re2H
1.0
3.638 0.000 0.000
0.000 3.638 0.000
1.819 1.819 9.227
Re H Ba
2 1 2
direct
0.750 0.250 0.500
0.250 0.750 0.500
0.000 0.000 0.000
0.401 0.401 0.197
0.599 0.599 0.803
```

Computed properties:
calculated volume = 24.4 A^3/atom
E above lowest polymorph = 0 meV/atom
D(E_F) = 2.76 states/eV per cell

Compound: BaRe2H2
Source: Alexandria via LeMat-Bulk
Functional: GGA-PBE
Structure: optimized geometry

Geometry as POSCAR:
```
BaRe2H2
1.0
-3.883 -4.598 -4.875
-0.498 -5.420 5.509
-2.470 1.137 0.895
H Ba Re
4 2 4
direct
0.405 0.095 0.500
0.595 0.905 0.500
0.095 0.595 0.500
0.905 0.405 0.500
0.500 0.500 0.000
0.000 0.000 0.000
0.604 0.104 0.000
0.896 0.604 0.000
0.104 0.396 0.000
0.396 0.896 0.000
```

Computed properties:
calculated volume = 17.2 A^3/atom
E above lowest polymorph = 0 meV/atom
D(E_F) = 4.55 states/eV per cell

Compound: BaReH3
Source: Alexandria via LeMat-Bulk
Functional: GGA-PBE
Structure: optimized geometry

Geometry as POSCAR:
```
BaReH3
1.0
-0.212 -2.466 -3.069
3.937 -0.123 -0.173
0.012 -3.074 2.469
H Ba Re
3 1 1
direct
0.500 0.000 0.000
0.000 0.500 0.000
0.000 0.000 0.500
0.500 0.500 0.500
0.000 0.000 0.000
```

Computed properties:
calculated volume = 12.3 A^3/atom
E above lowest polymorph = 0 meV/atom
D(E_F) = 1.86 states/eV per cell

Compound: Ba2Re2H
Source: Alexandria via LeMat-Bulk
Functional: GGA-PBE
Structure: optimized geometry

Geometry as POSCAR:
```
Ba2Re2H
1.0
7.481 0.000 0.000
0.000 7.481 0.000
0.000 0.000 5.225
Re Ba H
4 4 2
direct
0.603 0.897 0.500
0.103 0.603 0.500
0.897 0.397 0.500
0.397 0.103 0.500
0.316 0.816 0.000
0.816 0.684 0.000
0.184 0.316 0.000
0.684 0.184 0.000
0.500 0.500 0.000
0.000 0.000 0.000
```

Computed properties:
calculated volume = 29.2 A^3/atom
E above lowest polymorph = 725 meV/atom
D(E_F) = 8.95 states/eV per cell

Compound: BaReH2
Source: Alexandria via LeMat-Bulk
Functional: GGA-PBE
Structure: optimized geometry

Geometry as POSCAR:
```
BaReH2
1.0
0.000 3.102 3.102
3.102 0.000 3.102
3.102 3.102 0.000
Ba H Re
1 2 1
direct
0.000 0.000 0.000
0.750 0.750 0.750
0.250 0.250 0.250
0.500 0.500 0.500
```

Computed properties:
calculated volume = 14.9 A^3/atom
E above lowest polymorph = 909 meV/atom
D(E_F) = 4.98 states/eV per cell

Compound: Ba3ReH
Source: Alexandria via LeMat-Bulk
Functional: GGA-PBE
Structure: optimized geometry

Geometry as POSCAR:
```
Ba3ReH
1.0
5.339 0.000 0.000
0.000 5.339 0.000
0.000 0.000 5.339
Re H Ba
1 1 3
direct
0.500 0.500 0.500
0.000 0.000 0.000
0.500 0.000 0.000
0.000 0.500 0.000
0.000 0.000 0.500
```

Computed properties:
calculated volume = 30.4 A^3/atom
E above lowest polymorph = 0 meV/atom
D(E_F) = 4.25 states/eV per cell

Compound: Ba2ReH
Source: Alexandria via LeMat-Bulk
Functional: GGA-PBE
Structure: optimized geometry

Geometry as POSCAR:
```
Ba2ReH
1.0
-2.665 -4.687 0.295
-4.346 -0.834 -3.093
0.237 -3.503 -4.102
H Ba Re
1 2 1
direct
0.000 0.000 0.000
0.750 0.750 0.750
0.250 0.250 0.250
0.500 0.500 0.500
```

Computed properties:
calculated volume = 27.8 A^3/atom
E above lowest polymorph = 113 meV/atom
D(E_F) = 7.78 states/eV per cell

Compound: BaReH2S
Source: Alexandria via LeMat-Bulk
Functional: GGA-PBE
Structure: optimized geometry

Geometry as POSCAR:
```
BaReH2S
1.0
4.095 0.000 0.000
0.000 7.140 0.000
0.000 0.000 4.095
H Ba S Re
2 1 1 1
direct
0.000 0.000 0.500
0.500 0.000 0.000
0.000 0.500 0.000
0.500 0.500 0.500
0.000 0.000 0.000
```

Computed properties:
calculated volume = 23.9 A^3/atom
D(E_F) = 2.31 states/eV per cell
electronic total energy = -22.33 eV/cell

Compound: BaRe2TcH
Source: Alexandria via LeMat-Bulk
Functional: GGA-PBE
Structure: optimized geometry

Geometry as POSCAR:
```
BaRe2TcH
1.0
-1.876 0.583 -3.404
3.068 -3.502 -2.291
-2.555 -2.841 0.921
Ba H Tc Re
1 1 1 2
direct
0.000 0.500 0.000
0.000 0.000 0.000
0.500 0.500 0.500
0.500 0.000 0.000
0.000 0.000 0.500
```

Computed properties:
calculated volume = 16.0 A^3/atom
D(E_F) = 6.44 states/eV per cell
electronic total energy = -33.82 eV/cell

Compound: BaVRe2H
Source: Alexandria via LeMat-Bulk
Functional: GGA-PBE
Structure: optimized geometry

Geometry as POSCAR:
```
BaVRe2H
1.0
4.418 0.000 0.000
0.000 6.809 0.000
0.000 0.000 4.418
Re V Ba H
2 1 1 1
direct
0.500 0.000 0.000
0.000 0.000 0.500
0.000 0.000 0.000
0.000 0.500 0.000
0.500 0.500 0.500
```

Computed properties:
calculated volume = 26.6 A^3/atom
D(E_F) = 6.29 states/eV per cell
electronic total energy = -31.21 eV/cell

Compound: Ba2YReH
Source: Alexandria via LeMat-Bulk
Functional: GGA-PBE
Structure: optimized geometry

Geometry as POSCAR:
```
Ba2YReH
1.0
6.523 0.000 0.000
0.000 3.823 0.000
0.000 0.000 6.523
H Ba Y Re
1 2 1 1
direct
0.000 0.500 0.000
0.000 0.000 0.500
0.500 0.000 0.000
0.000 0.000 0.000
0.500 0.500 0.500
```

Computed properties:
calculated volume = 32.5 A^3/atom
D(E_F) = 5.47 states/eV per cell
electronic total energy = -19.61 eV/cell

Compound: BaH8Rh2
Source: Alexandria via LeMat-Bulk
Functional: GGA-PBE
Structure: optimized geometry

Geometry as POSCAR:
```
BaH8Rh2
1.0
-1.527 1.403 -4.512
4.600 -0.664 -1.765
-3.177 -3.822 -0.114
H Ba Rh
8 1 2
direct
0.591 0.063 0.332
0.385 0.038 0.615
0.798 0.566 0.566
0.384 0.566 0.566
0.591 0.332 0.063
0.385 0.615 0.038
0.797 0.037 0.616
0.797 0.616 0.037
0.091 0.088 0.088
0.591 0.696 0.350
0.591 0.350 0.696
```

Computed properties:
calculated volume = 9.8 A^3/atom
D(E_F) = 1.03 states/eV per cell
electronic total energy = -46.08 eV/cell

Compound: Ba3HRh2
Source: Alexandria via LeMat-Bulk
Functional: GGA-PBE
Structure: optimized geometry

Geometry as POSCAR:
```
Ba3HRh2
1.0
6.498 0.532 1.138
0.225 6.516 1.138
-0.161 -0.169 7.581
Rh H Ba
4 2 6
direct
0.125 0.592 0.625
0.875 0.408 0.375
0.408 0.875 0.875
0.592 0.125 0.125
0.276 0.724 0.750
0.724 0.276 0.250
0.115 0.235 0.027
0.604 0.396 0.750
0.765 0.885 0.473
0.885 0.765 0.973
0.235 0.115 0.527
0.396 0.604 0.250
```

Computed properties:
calculated volume = 26.9 A^3/atom
D(E_F) = 4.92 states/eV per cell
electronic total energy = -50.02 eV/cell

Compound: Ba6HRh2
Source: Alexandria via LeMat-Bulk
Functional: GGA-PBE
Structure: optimized geometry

Geometry as POSCAR:
```
Ba6HRh2
1.0
-1.027 4.240 -1.176
-4.401 -4.945 -5.305
-5.861 1.086 9.033
Rh Ba H
2 6 1
direct
0.343 0.687 0.187
0.657 0.313 0.813
0.700 0.401 0.128
0.631 0.262 0.539
0.972 0.943 0.214
0.300 0.599 0.872
0.028 0.057 0.786
0.369 0.738 0.461
0.000 0.000 0.500
```

Computed properties:
calculated volume = 42.2 A^3/atom
E above lowest polymorph = 0 meV/atom
D(E_F) = 5.66 states/eV per cell

Compound: Ba8H2Rh
Source: Alexandria via LeMat-Bulk
Functional: GGA-PBE
Structure: optimized geometry

Geometry as POSCAR:
```
Ba8H2Rh
1.0
-6.698 -3.181 -0.360
2.206 -3.212 -8.083
4.063 -7.991 -0.387
Ba H Rh
8 2 1
direct
0.271 0.158 0.158
0.729 0.842 0.842
0.770 0.318 0.867
0.723 0.336 0.336
0.230 0.682 0.133
0.770 0.867 0.318
0.230 0.133 0.682
0.277 0.664 0.664
0.367 0.826 0.826
0.633 0.174 0.174
0.000 0.000 0.000
```

Computed properties:
calculated volume = 48.0 A^3/atom
D(E_F) = 10.04 states/eV per cell
electronic total energy = -31.62 eV/cell

Compound: Ba6HRh2
Source: Alexandria via LeMat-Bulk
Functional: GGA-PBE
Structure: optimized geometry

Geometry as POSCAR:
```
Ba6HRh2
1.0
4.455 0.000 0.000
-2.227 8.086 1.447
0.000 -0.528 10.776
H Ba Rh
1 6 2
direct
0.000 0.000 0.500
0.055 0.110 0.230
0.945 0.890 0.770
0.207 0.414 0.841
0.362 0.725 0.488
0.793 0.586 0.159
0.638 0.275 0.512
0.213 0.425 0.317
0.787 0.575 0.683
```

Computed properties:
calculated volume = 43.5 A^3/atom
E above lowest polymorph = 70 meV/atom
D(E_F) = 6.74 states/eV per cell

Compound: BaH2Rh2
Source: Alexandria via LeMat-Bulk
Functional: GGA-PBE
Structure: optimized geometry

Geometry as POSCAR:
```
BaH2Rh2
1.0
-1.040 0.425 -3.623
-3.415 -1.439 0.812
-4.057 4.460 -0.298
Ba H Rh
1 2 2
direct
0.000 0.000 0.000
0.250 0.750 0.500
0.750 0.250 0.500
0.721 0.721 0.558
0.279 0.279 0.442
```

Computed properties:
calculated volume = 15.6 A^3/atom
D(E_F) = 2.58 states/eV per cell
electronic total energy = -24.12 eV/cell

Compound: Ba3H4Rh2
Source: Alexandria via LeMat-Bulk
Functional: GGA-PBE
Structure: optimized geometry

Geometry as POSCAR:
```
Ba3H4Rh2
1.0
4.249 0.000 -1.233
-1.015 6.574 -3.500
-0.287 -0.641 6.950
H Ba Rh
4 3 2
direct
0.157 0.376 0.314
0.157 0.938 0.314
0.843 0.062 0.686
0.843 0.624 0.686
0.676 0.176 0.352
0.500 0.500 0.000
0.324 0.824 0.648
0.000 0.781 0.000
0.000 0.219 0.000
```

Computed properties:
calculated volume = 20.2 A^3/atom
D(E_F) = 1.77 states/eV per cell
electronic total energy = -37.75 eV/cell

Compound: BaHRh3
Source: Alexandria via LeMat-Bulk
Functional: GGA-PBE
Structure: optimized geometry

Geometry as POSCAR:
```
BaHRh3
1.0
-2.339 3.341 -1.293
0.573 -1.176 -4.074
-3.537 -2.400 0.195
Rh Ba H
3 1 1
direct
0.000 0.000 0.500
0.500 0.000 0.000
0.000 0.500 0.000
0.500 0.500 0.500
0.000 0.000 0.000
```

Computed properties:
calculated volume = 15.7 A^3/atom
E above lowest polymorph = 0 meV/atom
D(E_F) = 5.00 states/eV per cell

Compound: Ba2H2Rh
Source: Alexandria via LeMat-Bulk
Functional: GGA-PBE
Structure: optimized geometry

Geometry as POSCAR:
```
Ba2H2Rh
1.0
4.917 0.000 -2.575
-1.350 4.727 -2.576
-0.246 -0.328 5.509
Ba H Rh
2 2 1
direct
0.750 0.250 0.500
0.250 0.750 0.500
0.220 0.220 0.440
0.780 0.780 0.560
0.000 0.000 0.000
```

Computed properties:
calculated volume = 24.0 A^3/atom
E above lowest polymorph = 0 meV/atom
D(E_F) = 1.83 states/eV per cell

Compound: Ba2H4Rh
Source: Alexandria via LeMat-Bulk
Functional: GGA-PBE
Structure: optimized geometry

Geometry as POSCAR:
```
Ba2H4Rh
1.0
-2.894 -1.617 1.707
2.201 -2.816 1.063
1.435 1.726 8.139
H Ba Rh
4 2 1
direct
0.500 0.000 0.000
0.193 0.193 0.614
0.000 0.500 0.000
0.807 0.807 0.386
0.366 0.366 0.269
0.634 0.634 0.731
0.000 0.000 0.000
```

Computed properties:
calculated volume = 15.9 A^3/atom
E above lowest polymorph = 102 meV/atom
D(E_F) = 0.24 states/eV per cell

Compound: BaH11Rh5
Source: Alexandria via LeMat-Bulk
Functional: GGA-PBE
Structure: optimized geometry

Geometry as POSCAR:
```
BaH11Rh5
1.0
-5.213 -4.495 -1.344
1.093 -0.973 5.284
-2.392 4.876 -0.757
H Rh Ba
11 5 1
direct
0.500 0.000 0.000
0.725 0.453 0.453
0.897 0.169 0.494
0.638 0.731 0.161
0.897 0.494 0.169
0.362 0.839 0.269
0.103 0.506 0.831
0.362 0.269 0.839
0.275 0.547 0.547
0.638 0.161 0.731
0.103 0.831 0.506
0.637 0.379 0.082
0.363 0.918 0.621
0.000 0.500 0.500
0.363 0.621 0.918
0.637 0.082 0.379
0.000 0.000 0.000
```

Computed properties:
calculated volume = 10.6 A^3/atom
D(E_F) = 9.09 states/eV per cell
electronic total energy = -76.83 eV/cell

Compound: Ba6H2Rh
Source: Alexandria via LeMat-Bulk
Functional: GGA-PBE
Structure: optimized geometry

Geometry as POSCAR:
```
Ba6H2Rh
1.0
4.566 0.000 0.000
2.283 7.465 -0.249
2.283 2.813 11.117
Ba Rh H
6 1 2
direct
0.657 0.270 0.417
0.331 0.237 0.102
0.009 0.236 0.745
0.669 0.763 0.898
0.343 0.730 0.583
0.991 0.764 0.255
0.000 0.500 0.500
0.172 0.867 0.789
0.828 0.133 0.211
```

Computed properties:
calculated volume = 42.5 A^3/atom
E above lowest polymorph = 11 meV/atom
D(E_F) = 9.17 states/eV per cell